# TaSiAg4

An optimized crystal structure of TaSiAg4 (GGA-PBE, Alexandria).

Lattice parameters (Å, degrees): 5.3938 5.3938 5.3938 60.00 60.00 60.00
Each line ends with the local moment (μB).
Fractional positions:
Ag  0.1247  0.6251  0.6251  0.03
Ag  0.6251  0.1247  0.6251  0.03
Ta  0.0000  0.0000  0.0000  1.01
Ag  0.6251  0.6251  0.1247  0.03
Ag  0.6251  0.6251  0.6251  0.03
Si  0.2500  0.2500  0.2500  -0.02

raw formation energy	0.706	eV per atom



# LaGe2RhS

An optimized crystal structure of LaGe2RhS (GGA-PBE, Alexandria).

Lattice parameters (Å, degrees): 7.8551 4.1988 7.3783 90.00 108.64 90.00
Fractional positions:
La  0.4783  0.0000  0.4509
La  0.4783  0.5000  0.9509
Ge  0.2096  0.0000  0.0287
S  0.6757  0.5000  0.6872
Ge  0.0079  0.5000  0.7974
Rh  0.1382  0.0000  0.6735
Rh  0.1382  0.5000  0.1735
Ge  0.0079  0.0000  0.2974
Ge  0.2096  0.5000  0.5287
S  0.6757  0.0000  0.1872

raw formation energy	-0.854	eV per atom
distance to the lowest polymorph of the same formula	10	meV/atom



# BaCaSi

An optimized crystal structure of BaCaSi (GGA-PBE, Alexandria).

Lattice parameters (Å, degrees): 5.0482 5.0482 7.9778 90.05 90.05 90.02
Fractional positions:
Si  0.2497  0.2497  0.7807
Ca  0.2501  0.7499  0.0000
Ba  0.7500  0.7500  0.6365
Ca  0.7499  0.2501  0.0000
Si  0.7503  0.7503  0.2193
Ba  0.2500  0.2500  0.3635

raw formation energy	-0.420	eV per atom
distance to the lowest polymorph of the same formula	0	meV/atom



# AcPmScCd

An optimized crystal structure of AcPmScCd (GGA-PBE, Alexandria).

Lattice parameters (Å, degrees): 5.5456 5.5456 5.5456 60.00 60.00 60.00
Fractional positions:
Ac  0.2500  0.2500  0.2500
Sc  0.0000  0.0000  0.0000
Pm  0.5000  0.5000  0.5000
Cd  0.7500  0.7500  0.7500

E_form	2.27	kcal/mol of atoms